# 1
Material: AlVB2Sb
Method: DFT, PBE-GGA
State: optimized geometry

Summary:
Its total moment is 0.000 μB/f.u. As for the space group: P4/mmm, No. 123. As for the uncorrected energy: -23.12 eV for the cell shown. The uncorrected formation energy comes out at 139.21 kJ/mol of atoms. As for the density of states at the Fermi level: 6.5 states/eV per cell. Its calculated volume is 16.56 A^3/atom.

Geometry as CIF:
```
data_AlVB2Sb
_symmetry_space_group_name_H-M 'P 1'
_symmetry_Int_Tables_number 1
_symmetry_space_group_name_Hall 'P 1'
_cell_length_a 4.082
_cell_length_b 4.971
_cell_length_c 4.082
_cell_angle_alpha 90.00
_cell_angle_beta 90.00
_cell_angle_gamma 90.00
loop_
_atom_site_label
_atom_site_fract_x
_atom_site_fract_y
_atom_site_fract_z
Al1 0.000 0.000 0.000
V1 0.000 0.500 0.000
B1 0.000 0.000 0.500
B2 0.500 0.000 0.000
Sb1 0.500 0.500 0.500
```

=====

# 2
Material: Y2Zn2AgPd5
Method: DFT, PBE-GGA
State: optimized geometry

Summary:
Its total moment is 0.000 μB/f.u. As for the space group: P4/mbm, No. 127. As for the uncorrected energy: -101.00 eV for the cell shown. The formation energy comes out at -621 meV/atom. As for the density of states at the Fermi level: 7.5 states/eV per cell. Its calculated volume is 17.81 A^3/atom.

Geometry as CIF:
```
data_Y2Zn2AgPd5
_symmetry_space_group_name_H-M 'P 1'
_symmetry_Int_Tables_number 1
_symmetry_space_group_name_Hall 'P 1'
_cell_length_a 3.856
_cell_length_b 9.613
_cell_length_c 9.613
_cell_angle_alpha 90.00
_cell_angle_beta 90.00
_cell_angle_gamma 90.00
loop_
_atom_site_label
_atom_site_fract_x
_atom_site_fract_y
_atom_site_fract_z
Pd1 0.500 0.000 0.500
Pd2 0.500 0.931 0.206
Pd3 0.500 0.569 0.706
Pd4 0.500 0.069 0.794
Pd5 0.500 0.431 0.294
Pd6 0.500 0.706 0.431
Pd7 0.500 0.794 0.931
Pd8 0.500 0.294 0.569
Pd9 0.500 0.500 0.000
Pd10 0.500 0.206 0.069
Y1 0.000 0.678 0.178
Y2 0.000 0.822 0.678
Y3 0.000 0.322 0.822
Y4 0.000 0.178 0.322
Ag1 0.000 0.000 0.000
Ag2 0.000 0.500 0.500
Zn1 0.000 0.619 0.881
Zn2 0.000 0.381 0.119
Zn3 0.000 0.881 0.381
Zn4 0.000 0.119 0.619
```